Computed, not measured: an optimized crystal structure of NaInGaSn at the PBE-GGA level of DFT.

a b c (Å): 7.4041 7.4041 7.4041
angles (deg): 90.00 90.00 90.00
Closest atoms and distances in Å follow each position.
Space group F-43m (No. 216)
Asymmetric unit:
Na 0.0000 0.0000 0.0000 [4 per cell]  4 Ga 3.21, 4 In 3.21
In 0.2500 0.2500 0.7500 [4 per cell]  4 Sn 3.21, 4 Na 3.21
Ga 0.2500 0.2500 0.2500 [4 per cell]  4 Sn 3.21, 4 Na 3.21
Sn 0.0000 0.0000 0.5000 [4 per cell]  4 In 3.21, 4 Ga 3.21

density	5.339	g/cm3
M_tot	0.00	μB/atom
formation energy	-0.021	eV/atom
VASP energy	-44.7	eV per cell